(1)
DFT (PBE) results for a relaxed structure of Be2TlAu.

```
Be2TlAu
1.0
0.0000 3.2007 3.2007
3.2007 0.0000 3.2007
3.2007 3.2007 0.0000
Au Be Tl
1 2 1
Direct
0.2500 0.2500 0.2500
0.0000 0.0000 0.0000
0.7500 0.7500 0.7500
0.5000 0.5000 0.5000
```

Results
Space-group type   F-43m
Final energy   -2.55 eV/atom

***

(2)
DFT (PBE) results for a relaxed structure of BeTlZnAu.

```
BeTlZnAu
1.0
-3.3009 -3.3268 0.3185
-4.5172 1.1019 -0.6677
-2.2306 -1.4728 -3.8627
Au Be Tl Zn
1 1 1 1
Direct
0.7500 0.7500 0.7500
0.0000 0.0000 0.0000
0.5000 0.5000 0.5000
0.2500 0.2500 0.2500
```

Results
Space-group type   F-43m
Final energy   -2.19 eV/atom
Polymorph energy (0 for the lowest one)   113 meV per atom

***

(3)
DFT (PBE) results for a relaxed structure of BeTlZnAu.

```
BeTlZnAu
1.0
0.0000 3.2696 3.2696
3.2696 0.0000 3.2696
3.2696 3.2696 0.0000
Au Be Tl Zn
1 1 1 1
Direct
0.7500 0.7500 0.7500
0.5000 0.5000 0.5000
0.2500 0.2500 0.2500
0.0000 0.0000 0.0000
```

Results
Space-group type   F-43m
Final energy   -2.30 eV/atom
Polymorph energy (0 for the lowest one)   0 meV per atom

***

(4)
DFT (PBE) results for a relaxed structure of TmBeAu4.

```
TmBeAu4
1.0
-2.2672 2.4732 -0.3175
-0.8615 -1.1796 -3.0371
-6.6320 -5.5610 4.0411
Au Be Tm
4 1 1
Direct
0.5000 0.5000 0.1405
0.0000 0.0000 0.3166
0.0000 0.0000 0.6834
0.5000 0.5000 0.8595
0.0000 0.0000 0.0000
0.5000 0.5000 0.5000
```

Results
Space-group type   P4/mmm
Final energy   -3.87 eV/atom
Total magnetization   0.00 μB per cell